Record 1
# BaCdN2O | Alexandria | PBE-GGA | optimized geometry
data_BaCdN2O
_symmetry_space_group_name_H-M 'P 4/m m m'
_symmetry_Int_Tables_number 123
_symmetry_space_group_name_Hall '-P 4 2'
_cell_length_a 4.3666
_cell_length_b 4.3666
_cell_length_c 4.5333
_cell_angle_alpha 90.00
_cell_angle_beta 90.00
_cell_angle_gamma 90.00
loop_
_atom_site_label
_atom_site_fract_x
_atom_site_fract_y
_atom_site_fract_z
Ba1 0.0000 0.0000 0.0000
Cd1 0.5000 0.5000 0.5000
N1 0.0000 0.5000 0.5000
O1 0.5000 0.5000 0.0000
# Crystal system: tetragonal
# Total magnetization, μB/f.u.: 3.1
# Uncorrected formation energy, eV/atom: 0.409



Record 2
# BaCdNO2 | Alexandria | PBE-GGA | optimized geometry
data_BaCdNO2
_symmetry_space_group_name_H-M 'P 4/m m m'
_symmetry_Int_Tables_number 123
_symmetry_space_group_name_Hall '-P 4 2'
_cell_length_a 4.4841
_cell_length_b 4.4841
_cell_length_c 4.7226
_cell_angle_alpha 90.00
_cell_angle_beta 90.00
_cell_angle_gamma 90.00
loop_
_atom_site_label
_atom_site_fract_x
_atom_site_fract_y
_atom_site_fract_z
Ba1 0.0000 0.0000 0.0000
Cd1 0.5000 0.5000 0.5000
N1 0.0000 0.0000 0.5000
O1 0.0000 0.5000 0.0000
# Crystal system: tetragonal
# Total magnetization, μB/f.u.: 0.0
# Uncorrected formation energy, eV/atom: 0.627



Record 3
# BaCdN2O | Alexandria | PBE-GGA | optimized geometry
data_BaCdN2O
_symmetry_space_group_name_H-M 'P 4/m m m'
_symmetry_Int_Tables_number 123
_symmetry_space_group_name_Hall '-P 4 2'
_cell_length_a 4.7221
_cell_length_b 4.7221
_cell_length_c 4.5609
_cell_angle_alpha 90.00
_cell_angle_beta 90.00
_cell_angle_gamma 90.00
loop_
_atom_site_label
_atom_site_fract_x
_atom_site_fract_y
_atom_site_fract_z
Ba1 0.0000 0.0000 0.0000
Cd1 0.5000 0.5000 0.5000
N1 0.0000 0.5000 0.0000
O1 0.0000 0.0000 0.5000
# Crystal system: tetragonal
# Total magnetization, μB/f.u.: 1.3
# Uncorrected formation energy, eV/atom: 1.449



Record 4
# Ba2CdP2N6 | Alexandria | PBE-GGA | optimized geometry
data_Ba2CdP2N6
_symmetry_space_group_name_H-M 'R -3 m'
_symmetry_Int_Tables_number 166
_symmetry_space_group_name_Hall '-R 3 2"'
_cell_length_a 5.9025
_cell_length_b 5.9025
_cell_length_c 18.3419
_cell_angle_alpha 90.00
_cell_angle_beta 90.00
_cell_angle_gamma 120.00
loop_
_atom_site_label
_atom_site_fract_x
_atom_site_fract_y
_atom_site_fract_z
Ba1 0.0000 0.0000 0.2124
Cd1 0.0000 0.0000 0.0000
P1 0.0000 0.0000 0.4154
N1 0.0249 0.5125 0.2493
# Crystal system: trigonal
# Total magnetization, μB/f.u.: 1.7
# Uncorrected formation energy, eV/atom: -0.249



Record 5
# BaPa2CdN5 | Alexandria | PBE-GGA | optimized geometry
data_BaPa2CdN5
_symmetry_space_group_name_H-M 'I 4/m c m'
_symmetry_Int_Tables_number 140
_symmetry_space_group_name_Hall '-I 4 2c'
_cell_length_a 6.7438
_cell_length_b 6.7438
_cell_length_c 12.3639
_cell_angle_alpha 90.00
_cell_angle_beta 90.00
_cell_angle_gamma 90.00
loop_
_atom_site_label
_atom_site_fract_x
_atom_site_fract_y
_atom_site_fract_z
Ba1 0.0000 0.0000 0.2500
Pa1 0.1737 0.3263 0.0000
Cd1 0.0000 0.5000 0.2500
N1 0.0000 0.0000 0.0000
N2 0.1547 0.3453 0.3856
# Crystal system: tetragonal
# Total magnetization, μB/f.u.: 0.5
# Uncorrected formation energy, eV/atom: -0.883



Record 6
# Ba4Pa3CdN8 | Alexandria | PBE-GGA | optimized geometry
data_Ba4Pa3CdN8
_symmetry_space_group_name_H-M 'R -3 m'
_symmetry_Int_Tables_number 166
_symmetry_space_group_name_Hall '-R 3 2"'
_cell_length_a 7.2893
_cell_length_b 7.2893
_cell_length_c 19.2483
_cell_angle_alpha 90.00
_cell_angle_beta 90.00
_cell_angle_gamma 120.00
loop_
_atom_site_label
_atom_site_fract_x
_atom_site_fract_y
_atom_site_fract_z
Ba1 0.0000 0.0000 0.0000
Ba2 0.0000 0.5000 0.0000
Pa1 0.0000 0.5000 0.5000
Cd1 0.0000 0.0000 0.5000
N1 0.0000 0.0000 0.2268
N2 0.0342 0.5171 0.7715
# Crystal system: trigonal
# Total magnetization, μB/f.u.: 0.0
# Uncorrected formation energy, eV/atom: -0.977



Record 7
# Ba2CdPbN | Alexandria | PBE-GGA | optimized geometry
data_Ba2CdPbN
_symmetry_space_group_name_H-M 'P 4/m m m'
_symmetry_Int_Tables_number 123
_symmetry_space_group_name_Hall '-P 4 2'
_cell_length_a 5.9208
_cell_length_b 5.9208
_cell_length_c 4.3901
_cell_angle_alpha 90.00
_cell_angle_beta 90.00
_cell_angle_gamma 90.00
loop_
_atom_site_label
_atom_site_fract_x
_atom_site_fract_y
_atom_site_fract_z
Ba1 0.0000 0.5000 0.0000
Cd1 0.0000 0.0000 0.5000
Pb1 0.5000 0.5000 0.5000
N1 0.0000 0.0000 0.0000
# Crystal system: tetragonal
# Total magnetization, μB/f.u.: 0.0
# Distance to the lowest polymorph of the same formula, eV per atom: 0.000
# Uncorrected formation energy, eV/atom: -0.252



Record 8
# Ba2CdPbN | Alexandria | PBE-GGA | optimized geometry
data_Ba2CdPbN
_symmetry_space_group_name_H-M 'P 4/m m m'
_symmetry_Int_Tables_number 123
_symmetry_space_group_name_Hall '-P 4 2'
_cell_length_a 6.7905
_cell_length_b 6.7905
_cell_length_c 4.4252
_cell_angle_alpha 90.00
_cell_angle_beta 90.00
_cell_angle_gamma 90.00
loop_
_atom_site_label
_atom_site_fract_x
_atom_site_fract_y
_atom_site_fract_z
Ba1 0.0000 0.5000 0.0000
Cd1 0.0000 0.0000 0.5000
Pb1 0.5000 0.5000 0.0000
N1 0.5000 0.5000 0.5000
# Crystal system: tetragonal
# Total magnetization, μB/f.u.: 0.0
# Distance to the lowest polymorph of the same formula, eV per atom: 0.778
# Uncorrected formation energy, eV/atom: 0.527